Computed, not measured: SrTe2Os after structural relaxation at the GGA-PBE level of DFT.

Cell lengths 5.1637, 5.1637, 3.5881 Å; angles 90.00, 90.00, 89.99 degrees
Element x y z (fractional)
Os 0.5000 0.0000 0.5000
Sr 0.0000 0.5000 0.5000
Te 0.0000 0.0000 0.0000
Te 0.5000 0.5000 0.0000

The crystal system is tetragonal. The calculation puts the density of states at the Fermi level at 0.8320 states/eV/atom. As for the raw formation energy: 0.17 eV per atom. For the energy, the calculation gives -18.513 eV per cell.

Computed, not measured: Sr2TeOs after structural relaxation at the GGA-PBE level of DFT.

Cell lengths 4.4131, 4.4131, 8.9268 Å; angles 82.67, 82.67, 43.91 degrees
Element x y z (fractional)
Os 0.2500 0.2500 0.2500
Sr 0.9958 0.9958 0.0297
Sr 0.5042 0.5042 0.4703
Te 0.7500 0.7500 0.7500

The crystal system is monoclinic. The calculation puts the density of states at the Fermi level at 0.4814 states/eV/atom. As for the raw formation energy: 0.17 eV per atom. For the energy, the calculation gives -17.065 eV per cell.

Computed, not measured: SrTe2Os after structural relaxation at the GGA-PBE level of DFT.

Cell lengths 5.2218, 5.2218, 5.2218 Å; angles 60.00, 60.00, 60.00 degrees
Element x y z (fractional)
Os 0.5000 0.5000 0.5000
Sr 0.7500 0.7500 0.7500
Te 0.0000 0.0000 0.0000
Te 0.2500 0.2500 0.2500

The crystal system is cubic. The calculation puts the density of states at the Fermi level at 0.6736 states/eV/atom. As for the raw formation energy: 0.63 eV per atom. For the energy, the calculation gives -16.672 eV per cell.

Computed, not measured: SrTeOs4 after structural relaxation at the GGA-PBE level of DFT.

Cell lengths 5.4037, 5.4037, 5.4037 Å; angles 60.00, 60.00, 60.00 degrees
Element x y z (fractional)
Sr 0.7500 0.7500 0.7500
Te 0.0000 0.0000 0.0000
Os 0.8769 0.3744 0.3744
Os 0.3744 0.3744 0.8769
Os 0.3744 0.8769 0.3744
Os 0.3744 0.3744 0.3744

The crystal system is cubic. The calculation puts the density of states at the Fermi level at 1.7923 states/eV/atom. As for the raw formation energy: 0.73 eV per atom. For the energy, the calculation gives -45.391 eV per cell.

Computed, not measured: Sr2TeOs after structural relaxation at the GGA-PBE level of DFT.

Cell lengths 9.1246, 9.1246, 9.1246 Å; angles 25.61, 25.61, 25.61 degrees
Element x y z (fractional)
Os 0.7500 0.7500 0.7500
Sr 0.0053 0.0053 0.0053
Sr 0.4947 0.4947 0.4947
Te 0.2500 0.2500 0.2500

The crystal system is trigonal. The calculation puts the density of states at the Fermi level at 1.0019 states/eV/atom. As for the raw formation energy: 0.20 eV per atom. For the energy, the calculation gives -16.928 eV per cell.

Computed, not measured: SrTe2Os after structural relaxation at the GGA-PBE level of DFT.

Cell lengths 9.5803, 9.5803, 9.5803 Å; angles 24.53, 24.53, 24.53 degrees
Element x y z (fractional)
Sr 0.0000 0.0000 0.0000
Te 0.8813 0.8813 0.8813
Te 0.1187 0.1187 0.1187
Os 0.5000 0.5000 0.5000

The crystal system is trigonal. The calculation puts the density of states at the Fermi level at 1.3426 states/eV/atom. As for the raw formation energy: 0.04 eV per atom. For the energy, the calculation gives -19.044 eV per cell.

Computed, not measured: Sr2TeOs after structural relaxation at the GGA-PBE level of DFT.

Cell lengths 8.4853, 8.4853, 8.4853 Å; angles 31.06, 31.06, 31.06 degrees
Element x y z (fractional)
Os 0.7922 0.7922 0.7922
Sr 0.0400 0.0400 0.0400
Sr 0.2099 0.2099 0.2099
Te 0.4579 0.4579 0.4579

The crystal system is trigonal. The calculation puts the density of states at the Fermi level at 1.1800 states/eV/atom. As for the raw formation energy: -0.12 eV per atom. For the energy, the calculation gives -18.200 eV per cell.

Computed, not measured: SrTeOs3 after structural relaxation at the GGA-PBE level of DFT.

Cell lengths 4.8811, 4.8811, 4.8811 Å; angles 90.00, 90.00, 90.00 degrees
Element x y z (fractional)
Sr 0.0000 0.0000 0.0000
Te 0.5000 0.5000 0.5000
Os 0.0000 0.5000 0.0000
Os 0.0000 0.0000 0.5000
Os 0.5000 0.0000 0.0000

The crystal system is cubic. The calculation puts the density of states at the Fermi level at 1.2544 states/eV/atom. As for the raw formation energy: 3.47 eV per atom. For the energy, the calculation gives -21.152 eV per cell.

Computed, not measured: Sr2YTeOs after structural relaxation at the GGA-PBE level of DFT.

Cell lengths 6.5055, 5.5255, 6.5055 Å; angles 90.00, 90.00, 90.00 degrees
Element x y z (fractional)
Y 0.0000 0.0000 0.0000
Sr 0.0000 0.0000 0.5000
Sr 0.5000 0.0000 0.0000
Te 0.0000 0.5000 0.0000
Os 0.5000 0.5000 0.5000

The crystal system is tetragonal. The calculation puts the density of states at the Fermi level at 1.9960 states/eV/atom. As for the raw formation energy: 1.32 eV per atom. For the energy, the calculation gives -17.623 eV per cell.

Computed, not measured: SrTi2Os after structural relaxation at the GGA-PBE level of DFT.

Cell lengths 5.0264, 5.0264, 9.2845 Å; angles 74.29, 74.29, 90.00 degrees
Element x y z (fractional)
Sr 0.5000 0.5000 0.0000
Sr 0.2500 0.7500 0.5000
Os 0.0000 0.0000 0.0000
Os 0.7500 0.2500 0.5000
Ti 0.8742 0.1250 0.2500
Ti 0.8758 0.6250 0.2500
Ti 0.3750 0.1258 0.7500
Ti 0.8750 0.1242 0.7500

The crystal system is tetragonal. The value obtained for the energy of formation from the pure elements is 0.78 eV per atom. The calculation puts the density of states at the Fermi level at 1.4953 states/eV/atom. For the energy, the calculation gives -51.137 eV per cell.

Computed, not measured: SrTi3Os after structural relaxation at the GGA-PBE level of DFT.

Cell lengths 4.8972, 4.8972, 4.8972 Å; angles 90.00, 90.00, 90.00 degrees
Element x y z (fractional)
Sr 0.5000 0.5000 0.5000
Os 0.0000 0.0000 0.0000
Ti 0.0000 0.5000 0.0000
Ti 0.0000 0.0000 0.5000
Ti 0.5000 0.0000 0.0000

The crystal system is cubic. The value obtained for the energy of formation from the pure elements is 0.30 eV per atom. The calculation puts the density of states at the Fermi level at 1.5864 states/eV/atom. For the energy, the calculation gives -35.101 eV per cell.

Computed, not measured: SrTi3Os after structural relaxation at the GGA-PBE level of DFT.

Cell lengths 4.5758, 4.5758, 4.5758 Å; angles 90.00, 90.00, 90.00 degrees
Element x y z (fractional)
Sr 0.0000 0.0000 0.0000
Os 0.5000 0.5000 0.5000
Ti 0.0000 0.5000 0.0000
Ti 0.0000 0.0000 0.5000
Ti 0.5000 0.0000 0.0000

The crystal system is cubic. The value obtained for the energy of formation from the pure elements is 2.19 eV per atom. The calculation puts the density of states at the Fermi level at 2.0615 states/eV/atom. For the energy, the calculation gives -25.622 eV per cell.

Computed, not measured: SrTi2Os after structural relaxation at the GGA-PBE level of DFT.

Cell lengths 4.7282, 4.7282, 4.7282 Å; angles 60.00, 60.00, 60.00 degrees
Element x y z (fractional)
Sr 0.0000 0.0000 0.0000
Os 0.5000 0.5000 0.5000
Ti 0.2500 0.2500 0.2500
Ti 0.7500 0.7500 0.7500

The crystal system is cubic. The value obtained for the energy of formation from the pure elements is 0.45 eV per atom. The calculation puts the density of states at the Fermi level at 1.5817 states/eV/atom. For the energy, the calculation gives -26.884 eV per cell.

Computed, not measured: SrTiTl2Os after structural relaxation at the GGA-PBE level of DFT.

Cell lengths 5.3630, 4.8206, 5.3630 Å; angles 90.00, 90.00, 90.00 degrees
Element x y z (fractional)
Sr 0.5000 0.5000 0.5000
Tl 0.0000 0.0000 0.5000
Tl 0.5000 0.0000 0.0000
Os 0.0000 0.0000 0.0000
Ti 0.0000 0.5000 0.0000

The crystal system is tetragonal. The value obtained for the energy of formation from the pure elements is 0.30 eV per atom. The calculation puts the density of states at the Fermi level at 1.3002 states/eV/atom. For the energy, the calculation gives -24.061 eV per cell.